a.
Below is a geometry-optimized TaCdH3 structure, with properties calculated at the GGA-PBE level. Values from VASP.

The structure in Quantum ESPRESSO input format:
```
&SYSTEM
  ibrav = 0, nat = 5, ntyp = 3
/
ATOMIC_SPECIES
H 1.01 H.upf
Ta 180.95 Ta.upf
Cd 112.41 Cd.upf
ATOMIC_POSITIONS crystal
H 0.5000 0.0000 0.0000
H 0.0000 0.5000 0.0000
H 0.0000 0.0000 0.5000
Ta 0.5000 0.5000 0.5000
Cd 0.0000 0.0000 0.0000
CELL_PARAMETERS angstrom
3.6912 0.0000 0.0000
0.0000 3.6912 0.0000
0.0000 0.0000 3.6912
```

=====

b.
Below is a geometry-optimized TaCdH3 structure, with properties calculated at the GGA-PBE level. Values from VASP.

The structure in Quantum ESPRESSO input format:
```
&SYSTEM
  ibrav = 0, nat = 5, ntyp = 3
/
ATOMIC_SPECIES
H 1.01 H.upf
Cd 112.41 Cd.upf
Ta 180.95 Ta.upf
ATOMIC_POSITIONS crystal
H 0.0000 0.5000 0.0000
H 0.5000 0.0000 0.0000
Cd 0.5000 0.5000 0.5000
Ta 0.0000 0.0000 0.0000
H 0.0000 0.0000 0.5000
CELL_PARAMETERS angstrom
3.7086 0.0000 0.0000
0.0000 3.7086 0.0000
0.0000 0.0000 3.7086
```

=====

Winner for stability: b

=====

a.
Below is a geometry-optimized Ta2CdH structure, with properties calculated at the GGA-PBE level. Values from VASP.

The structure in Quantum ESPRESSO input format:
```
&SYSTEM
  ibrav = 0, nat = 4, ntyp = 3
/
ATOMIC_SPECIES
H 1.01 H.upf
Ta 180.95 Ta.upf
Cd 112.41 Cd.upf
ATOMIC_POSITIONS crystal
H 0.0000 0.0000 0.0000
Ta 0.2500 0.2500 0.2500
Cd 0.5000 0.5000 0.5000
Ta 0.7500 0.7500 0.7500
CELL_PARAMETERS angstrom
0.9587 -3.7706 -2.2682
1.6264 -3.5883 2.1818
-2.5645 -3.6632 0.5348
```

=====

b.
Below is a geometry-optimized Ta2CdH structure, with properties calculated at the GGA-PBE level. Values from VASP.

The structure in Quantum ESPRESSO input format:
```
&SYSTEM
  ibrav = 0, nat = 8, ntyp = 3
/
ATOMIC_SPECIES
Ta 180.95 Ta.upf
Cd 112.41 Cd.upf
H 1.01 H.upf
ATOMIC_POSITIONS crystal
Ta 0.8750 0.6246 0.7500
Ta 0.3750 0.6254 0.7500
Cd 0.0000 0.0000 0.0000
Cd 0.7500 0.2500 0.5000
Ta 0.3754 0.6250 0.2500
H 0.2500 0.7500 0.5000
Ta 0.3746 0.1250 0.2500
H 0.5000 0.5000 0.0000
CELL_PARAMETERS angstrom
-4.4729 0.8633 3.5619
3.5012 -0.6548 4.5554
0.2778 4.1083 4.0472
```

=====

Winner for stability: b

=====

a.
Below is a geometry-optimized TbCdH structure, with properties calculated at the GGA-PBE level. Values from VASP.

The structure in Quantum ESPRESSO input format:
```
&SYSTEM
  ibrav = 0, nat = 3, ntyp = 3
/
ATOMIC_SPECIES
H 1.01 H.upf
Cd 112.41 Cd.upf
Tb 158.93 Tb.upf
ATOMIC_POSITIONS crystal
H 0.2649 0.2649 0.5299
Cd 0.0085 0.0085 0.0171
Tb 0.7265 0.7265 0.4531
CELL_PARAMETERS angstrom
3.1889 0.0000 0.0000
0.0000 3.1889 0.0000
-1.5944 -1.5944 5.7912
```

=====

b.
Below is a geometry-optimized TbCdH structure, with properties calculated at the GGA-PBE level. Values from VASP.

The structure in Quantum ESPRESSO input format:
```
&SYSTEM
  ibrav = 0, nat = 6, ntyp = 3
/
ATOMIC_SPECIES
Tb 158.93 Tb.upf
Cd 112.41 Cd.upf
H 1.01 H.upf
ATOMIC_POSITIONS crystal
Tb 0.6164 0.6955 0.9067
Cd 0.8905 0.1034 0.7490
H 0.9568 0.4866 0.4716
Cd 0.1095 0.8966 0.2510
Tb 0.3836 0.3045 0.0933
H 0.0432 0.5134 0.5284
CELL_PARAMETERS angstrom
-0.1200 -3.2460 -1.3742
-1.3695 -1.2145 2.9885
-11.2145 7.7604 -4.3826
```

=====

Winner for stability: a

=====

a.
Below is a geometry-optimized CdTc2H structure, with properties calculated at the GGA-PBE level. Values from VASP.

The structure in Quantum ESPRESSO input format:
```
&SYSTEM
  ibrav = 0, nat = 8, ntyp = 3
/
ATOMIC_SPECIES
H 1.01 H.upf
Tc 98.00 Tc.upf
Cd 112.41 Cd.upf
ATOMIC_POSITIONS crystal
H 0.2500 0.7500 0.5000
H 0.5000 0.5000 0.0000
Tc 0.3750 0.1250 0.2500
Tc 0.8750 0.6250 0.7500
Cd 0.7500 0.2500 0.5000
Tc 0.3750 0.6250 0.7500
Cd 0.0000 0.0000 0.0000
Tc 0.3750 0.6250 0.2500
CELL_PARAMETERS angstrom
-4.7978 -0.6221 1.3615
1.1997 -4.3319 2.2483
-0.9612 -0.1642 5.8141
```

=====

b.
Below is a geometry-optimized CdTc2H structure, with properties calculated at the GGA-PBE level. Values from VASP.

The structure in Quantum ESPRESSO input format:
```
&SYSTEM
  ibrav = 0, nat = 4, ntyp = 3
/
ATOMIC_SPECIES
Tc 98.00 Tc.upf
H 1.01 H.upf
Cd 112.41 Cd.upf
ATOMIC_POSITIONS crystal
Tc 0.2500 0.2500 0.2500
H 0.0000 0.0000 0.0000
Cd 0.5000 0.5000 0.5000
Tc 0.7500 0.7500 0.7500
CELL_PARAMETERS angstrom
0.7211 1.7237 3.8849
-2.0493 3.6071 1.1717
-3.0658 -0.1490 3.0269
```

=====

Winner for stability: a